Entry from OQMD: a relaxed structure of TbSmZn2Ge2 (PBE-GGA).

Cell: 4.2392 4.2392 16.0736 Å, 90.00 90.00 120.00°
Atoms (fractional coordinates):
Ge1 0.3333 0.6667 0.1157
Ge2 0.3333 0.6667 0.3843
Ge3 0.6667 0.3333 0.6157
Ge4 0.6667 0.3333 0.8843
Sm1 0.0000 0.0000 0.0000
Sm2 0.0000 0.0000 0.5000
Tb1 0.0000 0.0000 0.2500
Tb2 0.0000 0.0000 0.7500
Zn1 0.6667 0.3333 0.1439
Zn2 0.6667 0.3333 0.3561
Zn3 0.3333 0.6667 0.6439
Zn4 0.3333 0.6667 0.8561

Values from the calculation:
Symmetry: P6_3/mmc, No. 194
Total moment (μB per formula unit): 0.0
Volume (A^3/atom): 20.847
E (eV per cell): -50.49

---

Entry from OQMD: a relaxed structure of SmTcGe (PBE-GGA).

Cell: 4.5359 4.5359 4.5359 Å, 60.00 60.00 60.00°
Atoms (fractional coordinates):
Ge1 0.0000 0.0000 0.0000
Sm1 0.2500 0.2500 0.2500
Tc1 0.7500 0.7500 0.7500

Values from the calculation:
Symmetry: F-43m, No. 216
Total moment (μB per formula unit): 0.2
Volume (A^3/atom): 21.997
E (eV per cell): -19.52

---

Entry from OQMD: a relaxed structure of Sm2Tc3Ge5 (PBE-GGA).

Cell: 8.6346 8.6346 8.6346 Å, 109.55 83.72 140.78°
Atoms (fractional coordinates):
Ge1 0.4096 0.6829 0.0925
Ge2 0.4560 0.2500 0.2060
Ge3 0.9560 0.7500 0.2060
Ge4 0.0904 0.1830 0.2734
Ge5 0.7500 0.2500 0.5000
Ge6 0.2500 0.7500 0.5000
Ge7 0.9096 0.8170 0.7266
Ge8 0.0440 0.2500 0.7940
Ge9 0.5440 0.7500 0.7940
Ge10 0.5904 0.3170 0.9075
Sm1 0.8637 0.2621 0.1259
Sm2 0.6363 0.7621 0.3984
Sm3 0.3637 0.2379 0.6016
Sm4 0.1363 0.7379 0.8741
Tc1 0.2500 0.2500 0.0000
Tc2 0.7500 0.7500 0.0000
Tc3 0.3502 0.9157 0.2660
Tc4 0.8502 0.5843 0.4345
Tc5 0.1498 0.4157 0.5655
Tc6 0.6498 0.0843 0.7340

Values from the calculation:
Symmetry: Ibam, No. 72
Total moment (μB per formula unit): 0.0
Volume (A^3/atom): 18.560
E (eV per cell): -137.17

---

Entry from OQMD: a relaxed structure of SmTcGe (PBE-GGA).

Cell: 4.7098 4.7098 4.7098 Å, 60.00 60.00 60.00°
Atoms (fractional coordinates):
Ge1 0.2500 0.2500 0.2500
Sm1 0.0000 0.0000 0.0000
Tc1 0.7500 0.7500 0.7500

Values from the calculation:
Symmetry: F-43m, No. 216
Total moment (μB per formula unit): 1.3
Volume (A^3/atom): 24.624
E (eV per cell): -16.90

---

Entry from OQMD: a relaxed structure of SmGeTe (PBE-GGA).

Cell: 5.0525 5.0525 5.0525 Å, 60.00 60.00 60.00°
Atoms (fractional coordinates):
Ge1 0.2500 0.2500 0.2500
Sm1 0.7500 0.7500 0.7500
Te1 0.0000 0.0000 0.0000

Values from the calculation:
Symmetry: F-43m, No. 216
Total moment (μB per formula unit): 0.0
Volume (A^3/atom): 30.401
E (eV per cell): -13.44

---

Entry from OQMD: a relaxed structure of SmGeTe (PBE-GGA).

Cell: 5.1055 5.1055 5.1055 Å, 60.00 60.00 60.00°
Atoms (fractional coordinates):
Ge1 0.2500 0.2500 0.2500
Sm1 0.0000 0.0000 0.0000
Te1 0.7500 0.7500 0.7500

Values from the calculation:
Symmetry: F-43m, No. 216
Total moment (μB per formula unit): 0.2
Volume (A^3/atom): 31.367
E (eV per cell): -13.50

---

Entry from OQMD: a relaxed structure of Sm6GeTe5 (PBE-GGA).

Cell: 7.6502 7.6502 7.6708 Å, 99.56 99.56 119.91°
Atoms (fractional coordinates):
Ge1 0.0000 0.0000 0.0000
Sm1 0.3871 0.0767 0.2330
Sm2 0.0767 0.3871 0.2330
Sm3 0.7711 0.7711 0.2378
Sm4 0.2289 0.2289 0.7622
Sm5 0.9233 0.6129 0.7670
Sm6 0.6129 0.9233 0.7670
Te1 0.6651 0.3349 0.0000
Te2 0.3349 0.6651 0.0000
Te3 0.8261 0.1739 0.5000
Te4 0.5000 0.5000 0.5000
Te5 0.1739 0.8261 0.5000

Values from the calculation:
Symmetry: C2/m, No. 12
Total moment (μB per formula unit): 0.0
Volume (A^3/atom): 30.596
E (eV per cell): -65.14

---

Entry from OQMD: a relaxed structure of Sm2GeTe (PBE-GGA).

Cell: 4.3249 4.3249 7.6504 Å, 106.41 106.41 59.98°
Atoms (fractional coordinates):
Ge1 0.0000 0.0000 0.0000
Sm1 0.7411 0.7411 0.2234
Sm2 0.2589 0.2589 0.7766
Te1 0.5000 0.5000 0.5000

Values from the calculation:
Symmetry: R-3m, No. 166
Total moment (μB per formula unit): 0.0
Volume (A^3/atom): 29.282
E (eV per cell): -22.05

---

Entry from OQMD: a relaxed structure of Sm5GeTe5 (PBE-GGA).

Cell: 7.6493 7.6493 8.7794 Å, 106.94 106.94 48.09°
Atoms (fractional coordinates):
Ge1 0.0000 0.0000 0.0000
Sm1 0.5000 0.5000 0.0000
Sm2 0.8427 0.8427 0.1614
Sm3 0.1573 0.1573 0.3198
Sm4 0.8427 0.8427 0.6802
Sm5 0.1573 0.1573 0.8386
Te1 0.3356 0.3356 0.1736
Te2 0.6704 0.6704 0.3360
Te3 0.0000 0.0000 0.5000
Te4 0.3296 0.3296 0.6640
Te5 0.6644 0.6644 0.8264

Values from the calculation:
Symmetry: C2/m, No. 12
Total moment (μB per formula unit): 0.0
Volume (A^3/atom): 32.938
E (eV per cell): -59.06

---

Entry from OQMD: a relaxed structure of Sm3GeTe2 (PBE-GGA).

Cell: 7.6074 7.6074 7.5551 Å, 99.77 99.77 119.35°
Atoms (fractional coordinates):
Ge1 0.5886 0.4114 0.2500
Ge2 0.4114 0.5886 0.7500
Sm1 0.5000 0.0000 0.0000
Sm2 0.2050 0.3540 0.0040
Sm3 0.6460 0.7950 0.4960
Sm4 0.0000 0.5000 0.5000
Sm5 0.3540 0.2050 0.5040
Sm6 0.7950 0.6460 0.9960
Te1 0.9185 0.0815 0.2500
Te2 0.2422 0.7578 0.2500
Te3 0.7578 0.2422 0.7500
Te4 0.0815 0.9185 0.7500

Values from the calculation:
Symmetry: C2/c, No. 15
Total moment (μB per formula unit): 0.0
Volume (A^3/atom): 29.912
E (eV per cell): -65.83

---

Entry from OQMD: a relaxed structure of SmTlGeTe3 (PBE-GGA).

Cell: 7.9184 7.9184 11.8968 Å, 90.00 90.00 145.58°
Atoms (fractional coordinates):
Ge1 0.9670 0.0330 0.2500
Ge2 0.0330 0.9670 0.7500
Sm1 0.5000 0.5000 0.0000
Sm2 0.5000 0.5000 0.5000
Te1 0.8614 0.1386 0.0522
Te2 0.5789 0.4211 0.2500
Te3 0.8614 0.1386 0.4478
Te4 0.1386 0.8614 0.5522
Te5 0.4211 0.5789 0.7500
Te6 0.1386 0.8614 0.9478
Tl1 0.2503 0.7497 0.2500
Tl2 0.7497 0.2503 0.7500

Values from the calculation:
Symmetry: Cmcm, No. 63
Total moment (μB per formula unit): 0.0
Volume (A^3/atom): 35.141
E (eV per cell): -49.80

---

Entry from OQMD: a relaxed structure of SmUGe (PBE-GGA).

Cell: 4.9379 4.9379 4.9379 Å, 60.00 60.00 60.00°
Atoms (fractional coordinates):
Ge1 0.0000 0.0000 0.0000
Sm1 0.2500 0.2500 0.2500
U1 0.7500 0.7500 0.7500

Values from the calculation:
Symmetry: F-43m, No. 216
Total moment (μB per formula unit): 3.3
Volume (A^3/atom): 28.379
E (eV per cell): -20.23

---

Entry from OQMD: a relaxed structure of SmYGe2 (PBE-GGA).

Cell: 9.5924 9.5924 5.4934 Å, 90.00 90.00 154.90°
Atoms (fractional coordinates):
Ge1 0.9580 0.0420 0.2500
Ge2 0.1898 0.8102 0.2500
Ge3 0.8102 0.1898 0.7500
Ge4 0.0420 0.9580 0.7500
Sm1 0.5798 0.4202 0.2500
Sm2 0.4202 0.5798 0.7500
Y1 0.7984 0.2016 0.2500
Y2 0.2016 0.7984 0.7500

Values from the calculation:
Symmetry: Cmcm, No. 63
Total moment (μB per formula unit): 0.0
Volume (A^3/atom): 26.801
E (eV per cell): -45.64

---

Entry from OQMD: a relaxed structure of SmYGe (PBE-GGA).

Cell: 8.6993 8.6993 8.6993 Å, 150.38 150.38 42.38°
Each line ends with the local moment (μB).
Atoms (fractional coordinates):
Ge1 0.1327 0.1327 0.0000  -0.01
Ge2 0.8673 0.8673 0.0000  -0.01
Sm1 0.3195 0.3195 0.0000  0.15
Sm2 0.6805 0.6805 0.0000  0.15
Y1 0.5000 0.0000 0.5000  0.11
Y2 0.0000 0.5000 0.5000  0.08

Values from the calculation:
Symmetry: I4/mmm, No. 139
Total moment (μB per formula unit): 0.5
Volume (A^3/atom): 26.738
E (eV per cell): -35.45

---

Entry from OQMD: a relaxed structure of SmYGe (PBE-GGA).

Cell: 4.9470 4.9470 4.9470 Å, 60.00 60.00 60.00°
Atoms (fractional coordinates):
Ge1 0.0000 0.0000 0.0000
Sm1 0.2500 0.2500 0.2500
Y1 0.7500 0.7500 0.7500

Values from the calculation:
Symmetry: F-43m, No. 216
Total moment (μB per formula unit): 0.0
Volume (A^3/atom): 28.536
E (eV per cell): -17.47

---

Entry from OQMD: a relaxed structure of SmYGe (PBE-GGA).

Cell: 5.1228 5.1228 6.5665 Å, 90.00 90.00 120.00°
Each line ends with the local moment (μB).
Atoms (fractional coordinates):
Ge1 0.3333 0.6667 0.4862  -0.02
Ge2 0.6667 0.3333 0.9862  -0.02
Sm1 0.6667 0.3333 0.4866  0.21
Sm2 0.3333 0.6667 0.9866  0.21
Y1 0.0000 0.0000 0.2368  0.31
Y2 0.0000 0.0000 0.7368  0.32

Values from the calculation:
Symmetry: P6_3/mmc, No. 194
Total moment (μB per formula unit): 0.9
Volume (A^3/atom): 24.873
E (eV per cell): -34.60

---

Entry from OQMD: a relaxed structure of SmYGe2 (PBE-GGA).

Cell: 3.2812 6.4953 6.4953 Å, 54.09 90.00 90.00°
Atoms (fractional coordinates):
Ge1 0.0000 0.3947 0.3947
Ge2 0.0000 0.6067 0.6067
Sm1 0.0000 0.1487 0.1487
Y1 0.0000 0.8499 0.8499

Values from the calculation:
Symmetry: Amm2, No. 38
Total moment (μB per formula unit): 0.0
Volume (A^3/atom): 28.030
E (eV per cell): -20.29

---

Entry from OQMD: a relaxed structure of SmYZn2Ge2 (PBE-GGA).

Cell: 4.2539 4.2539 15.9496 Å, 90.00 90.00 120.00°
Atoms (fractional coordinates):
Ge1 0.3333 0.6667 0.1157
Ge2 0.3333 0.6667 0.3843
Ge3 0.6667 0.3333 0.6157
Ge4 0.6667 0.3333 0.8843
Sm1 0.0000 0.0000 0.0000
Sm2 0.0000 0.0000 0.5000
Y1 0.0000 0.0000 0.2500
Y2 0.0000 0.0000 0.7500
Zn1 0.6667 0.3333 0.1472
Zn2 0.6667 0.3333 0.3528
Zn3 0.3333 0.6667 0.6472
Zn4 0.3333 0.6667 0.8528

Values from the calculation:
Symmetry: P6_3/mmc, No. 194
Total moment (μB per formula unit): 0.0
Volume (A^3/atom): 20.829
E (eV per cell): -54.21

---

Entry from OQMD: a relaxed structure of SmYZr2Ge2 (PBE-GGA).

Cell: 4.2168 4.2168 8.0214 Å, 90.00 90.00 90.00°
Atoms (fractional coordinates):
Ge1 0.5000 0.5000 0.2584
Ge2 0.0000 0.0000 0.7394
Sm1 0.0000 0.0000 0.3500
Y1 0.5000 0.5000 0.6549
Zr1 0.5000 0.0000 0.9986
Zr2 0.0000 0.5000 0.9986

Values from the calculation:
Symmetry: P4mm, No. 99
Total moment (μB per formula unit): 0.1
Volume (A^3/atom): 23.771
E (eV per cell): -41.74

---

Entry from OQMD: a relaxed structure of SmZrGe (PBE-GGA).

Cell: 4.7638 4.7638 4.7638 Å, 60.00 60.00 60.00°
Atoms (fractional coordinates):
Ge1 0.0000 0.0000 0.0000
Sm1 0.2500 0.2500 0.2500
Zr1 0.7500 0.7500 0.7500

Values from the calculation:
Symmetry: F-43m, No. 216
Total moment (μB per formula unit): 0.0
Volume (A^3/atom): 25.482
E (eV per cell): -18.95